Here is an optimized crystal structure of MnW2SBr from the Alexandria database. Energies are from PBE.

For the total energy, the calculation gives -6.76 eV/atom. The total magnetization comes out at 1.0 Bohr magnetons per cell.

It has space group P4/mmm (No. 123), with a = 4.711 Å, b = 4.711 Å, c = 4.073 Å, α = 90.00°, β = 90.00° and γ = 90.00°. The inequivalent atoms are Mn at (0.000, 0.000, 0.000), W at (0.000, 0.500, 0.000), S at (0.000, 0.000, 0.500) and Br at (0.500, 0.500, 0.500).